Entry 1:
Compound: CaAl8Fe4
Source: Alexandria via LeMat-Bulk
Functional: PBE-GGA
Structure: optimized geometry

The structure in POSCAR format:
```
CaAl8Fe4
1.0
-6.444 1.354 -0.967
3.829 -5.418 -0.524
0.131 0.633 6.624
Al Ca Fe
8 1 4
Cartesian
2.622 -3.169 4.039
1.338 -1.617 2.061
-4.180 1.315 3.746
-2.133 0.671 1.911
-0.416 -3.110 0.628
-2.068 -0.322 4.505
-2.729 -1.585 0.528
0.245 -1.847 4.604
0.000 0.000 0.000
0.065 0.316 3.312
-1.242 -1.716 2.566
1.915 -2.709 -0.262
-3.222 0.677 -0.484
```

Computed properties:
Its density is 4152 kg/m³. The total DFT energy (no corrections) comes out at -5.4106 eV per atom. As for the symmetry: I4/mmm. The value obtained for the spin magnetization is 5.7 μB/cell.

***

Entry 2:
Compound: CaAl2Fe
Source: Alexandria via LeMat-Bulk
Functional: PBE-GGA
Structure: optimized geometry

The structure in POSCAR format:
```
CaAl2Fe
1.0
0.000 3.261 3.261
3.261 0.000 3.261
3.261 3.261 0.000
Ca Fe Al
1 1 2
Cartesian
0.000 0.000 0.000
3.261 3.261 3.261
1.630 1.630 1.630
4.891 4.891 4.891
```

Computed properties:
Its density is 3590 kg/m³. The total DFT energy (no corrections) comes out at -4.3851 eV per atom. As for the symmetry: Fm-3m. The value obtained for the spin magnetization is 1.9 μB/cell.

***

Entry 3:
Compound: CaAl11Fe
Source: Alexandria via LeMat-Bulk
Functional: PBE-GGA
Structure: optimized geometry

The structure in POSCAR format:
```
CaAl11Fe
1.0
4.779 -0.057 1.991
2.277 6.673 0.949
-0.047 -0.029 6.844
Ca Al Fe
1 11 1
Cartesian
0.000 0.000 0.000
1.887 1.513 2.255
5.122 5.074 7.528
4.126 5.103 3.188
2.882 1.484 6.595
3.162 4.212 5.827
3.846 2.376 3.956
5.470 2.347 6.789
1.539 4.240 2.995
1.138 3.337 0.474
2.366 -0.043 4.417
-0.024 -0.014 3.422
3.528 3.308 1.470
```

Computed properties:
Its density is 2967 kg/m³. The total DFT energy (no corrections) comes out at -4.1134 eV per atom. As for the symmetry: C2/m. The value obtained for the spin magnetization is 0.0 μB/cell.

***

Entry 4:
Compound: CaAl10Fe3
Source: Alexandria via LeMat-Bulk
Functional: PBE-GGA
Structure: optimized geometry

The structure in POSCAR format:
```
CaAl10Fe3
1.0
7.639 0.000 4.411
2.546 7.203 4.411
0.000 0.000 8.821
Ca Al Fe
2 20 6
Cartesian
2.546 1.801 4.411
7.639 5.402 13.232
0.000 0.000 2.830
0.817 2.311 1.415
2.451 0.000 1.415
6.006 2.311 4.411
4.015 2.839 6.955
2.938 4.363 8.821
5.093 5.887 8.821
5.189 0.000 5.826
4.015 2.839 10.688
7.248 2.839 8.821
6.171 4.363 6.955
0.000 0.000 5.991
4.180 4.892 4.411
1.730 4.892 5.826
0.817 2.311 7.406
5.189 0.000 2.996
6.171 4.363 10.688
1.730 4.892 2.996
5.093 1.315 8.821
2.451 0.000 7.406
7.507 5.308 8.821
6.300 1.894 10.912
3.886 5.308 10.912
2.679 1.894 8.821
6.300 1.894 6.731
3.886 5.308 6.731
```

Computed properties:
Its density is 3267 kg/m³. The total DFT energy (no corrections) comes out at -4.7363 eV per atom. As for the symmetry: Fm-3m. The value obtained for the spin magnetization is 4.8 μB/cell.

***

Entry 5:
Compound: CaAlFe
Source: Alexandria via LeMat-Bulk
Functional: PBE-GGA
Structure: optimized geometry

The structure in POSCAR format:
```
CaAlFe
1.0
4.789 0.000 0.000
2.395 4.147 0.000
2.395 1.382 3.910
Ca Fe Al
1 1 1
Cartesian
7.184 4.147 2.933
0.000 0.000 0.000
4.789 2.765 1.955
```

Computed properties:
Its density is 2628 kg/m³. The total DFT energy (no corrections) comes out at -3.6509 eV per atom. As for the symmetry: F-43m. The value obtained for the spin magnetization is 2.5 μB/cell.

***

Entry 6:
Compound: CaAl2Fe
Source: Alexandria via LeMat-Bulk
Functional: PBE-GGA
Structure: optimized geometry

The structure in POSCAR format:
```
CaAl2Fe
1.0
5.705 0.075 0.028
2.653 5.051 -0.028
-3.491 -3.685 2.605
Ca Fe Al
1 1 2
Cartesian
3.196 -0.524 1.317
1.671 1.964 1.288
0.360 0.221 0.000
3.819 2.342 0.000
```

Computed properties:
Its density is 3355 kg/m³. The total DFT energy (no corrections) comes out at -4.3938 eV per atom. As for the symmetry: Immm. The value obtained for the spin magnetization is 1.8 μB/cell.

***

> Which value of density does entry 2 give?

3590 kg/m³

***

> Look up the density of the fifth one.

2628 kg/m³